Entry 1:
A relaxed Ho2Er3Tl6 crystal. Source: the Alexandria database, functional PBE.

Computed properties:
- E_tot: -3.37 eV per atom
- N(E_F): 0.73 states/eV per atom
- Formation energy from the elements: 0.001 eV/atom

Cell: 4.682 4.682 15.280 Å, 98.81 98.81 90.00°
Fractional positions:
Ho: 0.553 0.553 0.106
Ho: 0.447 0.447 0.894
Tl: 0.880 0.380 0.759
Tl: 0.697 0.697 0.394
Tl: 0.620 0.120 0.241
Tl: 0.303 0.303 0.606
Tl: 0.380 0.880 0.759
Tl: 0.120 0.620 0.241
Er: 0.799 0.799 0.598
Er: 0.000 0.000 0.000
Er: 0.201 0.201 0.402

=====

Entry 2:
A relaxed KTl2Br crystal. Source: the Alexandria database, functional PBE.

Computed properties:
- E_tot: -2.30 eV per atom
- N(E_F): 0.66 states/eV per atom

Cell: 10.013 10.013 7.761 Å, 49.83 49.83 90.00°
Fractional positions:
Br: 0.750 0.250 0.500
Br: 0.000 0.000 0.000
Tl: 0.672 0.125 0.250
Tl: 0.078 0.625 0.250
Tl: 0.375 0.328 0.750
Tl: 0.875 0.922 0.750
K: 0.250 0.750 0.500
K: 0.500 0.500 0.000

=====

Entry 3:
A relaxed ErTh2Pt3 crystal. Source: the Alexandria database, functional PBE.

Computed properties:
- E_tot: -7.47 eV per atom
- N(E_F): 0.45 states/eV per atom
- Formation energy from the elements: -1.220 eV/atom

Cell: 7.161 7.161 13.218 Å, 100.28 100.28 109.95°
Fractional positions:
Pt: 0.921 0.918 0.332
Pt: 0.586 0.588 0.668
Pt: 0.246 0.246 0.000
Pt: 0.004 0.504 0.500
Pt: 0.082 0.079 0.668
Pt: 0.754 0.754 0.000
Pt: 0.838 0.336 0.168
Pt: 0.329 0.832 0.168
Pt: 0.664 0.162 0.832
Pt: 0.168 0.671 0.832
Pt: 0.496 0.996 0.500
Pt: 0.412 0.414 0.332
Er: 0.333 0.833 0.666
Er: 0.917 0.917 0.834
Er: 0.083 0.083 0.166
Er: 0.167 0.667 0.334
Th: 0.583 0.583 0.165
Th: 0.251 0.251 0.503
Th: 0.501 0.001 0.003
Th: 0.667 0.167 0.335
Th: 0.417 0.417 0.835
Th: 0.999 0.499 0.997
Th: 0.749 0.749 0.497
Th: 0.833 0.333 0.665

=====

Entry 4:
A relaxed CaOs2Rh crystal. Source: the Alexandria database, functional PBE.

Computed properties:
- E_tot: -7.08 eV per atom
- N(E_F): 2.19 states/eV per atom
- Formation energy from the elements: 0.872 eV/atom

Cell: 4.521 4.521 4.521 Å, 60.00 60.00 60.00°
Fractional positions:
Ca: 0.000 0.000 0.000
Os: 0.250 0.250 0.250
Os: 0.750 0.750 0.750
Rh: 0.500 0.500 0.500

=====

Entry 5:
A relaxed Ac6Bi3TeAs2 crystal. Source: the Alexandria database, functional PBE.

Computed properties:
- E_tot: -5.31 eV per atom
- N(E_F): 0.23 states/eV per atom

Cell: 4.738 9.512 10.597 Å, 102.79 102.92 90.00°
Fractional positions:
Ac: 0.330 0.901 0.660
Ac: 0.671 0.573 0.343
Ac: 0.007 0.257 0.014
Ac: 0.670 0.099 0.340
Ac: 0.329 0.427 0.657
Ac: 0.993 0.743 0.986
Te: 0.500 0.000 0.000
Bi: 0.163 0.833 0.325
Bi: 0.837 0.167 0.675
Bi: 0.500 0.500 0.000
As: 0.168 0.334 0.335
As: 0.832 0.666 0.665

=====

Entry 6:
A relaxed Ba2NaRuC crystal. Source: the Alexandria database, functional PBE.

Computed properties:
- E_tot: -4.47 eV per atom
- N(E_F): 0.85 states/eV per atom
- Formation energy from the elements: 0.262 eV/atom

Cell: 6.015 6.015 3.969 Å, 90.00 90.00 90.00°
Fractional positions:
Ru: 0.000 0.000 0.500
Ba: 0.500 0.000 0.000
Ba: 0.000 0.500 0.000
Na: 0.500 0.500 0.500
C: 0.000 0.000 0.000

=====

Entry 7:
A relaxed NaH4N2 crystal. Source: the Alexandria database, functional PBE.

Computed properties:
- E_tot: -3.84 eV per atom
- N(E_F): 0.23 states/eV per atom

Cell: 2.345 6.883 6.883 Å, 90.00 90.00 90.00°
Fractional positions:
H: 0.500 0.691 0.179
H: 0.500 0.309 0.821
H: 0.500 0.179 0.691
H: 0.000 0.191 0.321
H: 0.000 0.679 0.809
H: 0.000 0.321 0.191
H: 0.000 0.809 0.679
H: 0.500 0.821 0.309
Na: 0.000 0.500 0.500
Na: 0.500 0.000 0.000
N: 0.000 0.238 0.762
N: 0.500 0.262 0.262
N: 0.000 0.762 0.238
N: 0.500 0.738 0.738

=====

Entry 8:
A relaxed BeAs2Ir crystal. Source: the Alexandria database, functional PBE.

Computed properties:
- E_tot: -5.30 eV per atom
- N(E_F): 0.43 states/eV per atom
- Formation energy from the elements: 0.172 eV/atom

Cell: 4.130 4.130 4.850 Å, 85.69 85.69 51.63°
Fractional positions:
Be: 0.750 0.750 0.750
As: 0.963 0.963 0.018
As: 0.537 0.537 0.482
Ir: 0.250 0.250 0.250

=====

Entry 9:
A relaxed InHg4P crystal. Source: the Alexandria database, functional PBE.

Computed properties:
- E_tot: -1.12 eV per atom
- N(E_F): 0.77 states/eV per atom
- Formation energy from the elements: 0.440 eV/atom

Cell: 6.028 6.028 6.028 Å, 60.00 60.00 60.00°
Fractional positions:
Hg: 0.374 0.877 0.374
Hg: 0.877 0.374 0.374
Hg: 0.374 0.374 0.877
Hg: 0.374 0.374 0.374
In: 0.750 0.750 0.750
P: 0.000 0.000 0.000